# MnB3F GGA+U relaxed
# Space-group type   Pm-3m
# Distance to the lowest polymorph of the same formula   282 meV/atom
# Calculated volume   11.0 Å³/atom
data_MnB3F
_cell_length_a 3.807
_cell_length_b 3.807
_cell_length_c 3.807
_cell_angle_alpha 90.00
_cell_angle_beta 90.00
_cell_angle_gamma 90.00
_symmetry_space_group_name_H-M 'P 1'
_symmetry_Int_Tables_number 1
loop_
_symmetry_equiv_pos_as_xyz
'x,y,z'
loop_
_atom_site_label
_atom_site_type_symbol
_atom_site_fract_x
_atom_site_fract_y
_atom_site_fract_z
B1 B 0.000 0.500 0.000
B2 B 0.000 0.000 0.500
B3 B 0.500 0.000 0.000
Mn1 Mn 0.500 0.500 0.500
F1 F 0.000 0.000 0.000